Record 1
A plane-wave DFT calculation with PBE was carried out for crystalline KI3Br at its relaxed geometry.

Properties
* symmetry: Pm-3m (221)
* total magnetic moment: 3.0 μB/cell
* E: -1.414 eV/atom
* D(E_F): 2.359 states/eV per atom
* formation energy (no corrections): 0.07 eV/atom
* polymorph energy (0 for the lowest one): 467.7 meV per atom

abc: 6.6953 6.6953 6.6953
angles: 90.00 90.00 90.00
Fractional positions:
1 K 0.0000 0.0000 0.0000
2 I 0.0000 0.0000 0.5000
3 I 0.0000 0.5000 0.0000
4 I 0.5000 0.0000 0.0000
5 Br 0.5000 0.5000 0.5000



Record 2
A plane-wave DFT calculation with PBE was carried out for crystalline Pm2Zn2Cd15 at its relaxed geometry.

Properties
* symmetry: R-3m (166)
* total magnetic moment: 0.0 μB/cell
* E: -1.472 eV/atom
* D(E_F): 0.219 states/eV per atom
* ΔH_f (0 K): -2.2 eV per formula unit

abc: 7.6094 7.6094 7.6094
angles: 82.18 82.18 82.18
Fractional positions:
1 Pm 0.1762 0.1762 0.1762
2 Pm 0.8238 0.8238 0.8238
3 Zn 0.4036 0.4036 0.4036
4 Zn 0.5964 0.5964 0.5964
5 Cd 0.0000 0.5000 0.5000
6 Cd 0.1406 0.1406 0.6596
7 Cd 0.1406 0.6596 0.1406
8 Cd 0.2025 0.5000 0.7975
9 Cd 0.2025 0.7975 0.5000
10 Cd 0.3404 0.8594 0.8594
11 Cd 0.5000 0.0000 0.5000
12 Cd 0.5000 0.2025 0.7975
13 Cd 0.5000 0.5000 0.0000
14 Cd 0.5000 0.7975 0.2025
15 Cd 0.6596 0.1406 0.1406
16 Cd 0.7975 0.2025 0.5000
17 Cd 0.7975 0.5000 0.2025
18 Cd 0.8594 0.3404 0.8594
19 Cd 0.8594 0.8594 0.3404



Record 3
A plane-wave DFT calculation with PBE was carried out for crystalline LaMg3Cl at its relaxed geometry.

Properties
* symmetry: Pm-3m (221)
* total magnetic moment: 0.0 μB/cell
* E: -2.363 eV/atom
* D(E_F): 1.048 states/eV per atom
* formation energy (no corrections): -0.05 eV/atom
* polymorph energy (0 for the lowest one): 0.0 meV per atom

abc: 5.3005 5.3005 5.3005
angles: 90.00 90.00 90.00
Fractional positions:
1 La 0.0000 0.0000 0.0000
2 Mg 0.0000 0.5000 0.5000
3 Mg 0.5000 0.0000 0.5000
4 Mg 0.5000 0.5000 0.0000
5 Cl 0.5000 0.5000 0.5000



Record 4
A plane-wave DFT calculation with PBE was carried out for crystalline MgMo2Pd at its relaxed geometry.

Properties
* symmetry: I-42d (122)
* total magnetic moment: 0.0 μB/cell
* E: -6.430 eV/atom
* D(E_F): 1.233 states/eV per atom
* ΔH_f (0 K): 2.7 eV per formula unit

abc: 5.8734 5.8734 5.8734
angles: 100.56 100.56 129.31
Fractional positions:
1 Mg 0.0000 0.0000 0.0000
2 Mg 0.7500 0.2500 0.5000
3 Mo 0.1499 0.6250 0.0249
4 Mo 0.3750 0.3999 0.5249
5 Mo 0.6001 0.1250 0.9751
6 Mo 0.8750 0.8501 0.4751
7 Pd 0.2500 0.7500 0.5000
8 Pd 0.5000 0.5000 0.0000